1.
ZrNb2Ir: optimized geometry, GGA-PBE.

a b c (Å): 7.660 7.660 5.427
angles (deg): 90.00 90.00 90.00
Element x y z (fractional)
Zr 0.000 0.000 0.000
Zr 0.000 0.500 0.250
Zr 0.500 0.000 0.750
Zr 0.500 0.500 0.500
Nb 0.213 0.250 0.625
Nb 0.250 0.713 0.875
Nb 0.250 0.787 0.375
Nb 0.287 0.250 0.125
Nb 0.713 0.750 0.125
Nb 0.750 0.213 0.375
Nb 0.750 0.287 0.875
Nb 0.787 0.750 0.625
Ir 0.000 0.000 0.500
Ir 0.000 0.500 0.750
Ir 0.500 0.000 0.250
Ir 0.500 0.500 0.000

The formation enthalpy at 0 K is 0.10 eV per atom. As for the symmetry: I-42d.

---

2.
LiCrC3: optimized geometry, GGA-PBE.

a b c (Å): 3.488 3.488 3.488
angles (deg): 90.00 90.00 90.00
Element x y z (fractional)
Li 0.000 0.000 0.000
Cr 0.500 0.500 0.500
C 0.000 0.000 0.500
C 0.000 0.500 0.000
C 0.500 0.000 0.000

The formation enthalpy at 0 K is 2.77 eV per atom. As for the symmetry: Pm-3m.

---

3.
La2Cu5Rh: optimized geometry, GGA-PBE.

a b c (Å): 8.122 8.122 8.984
angles (deg): 90.00 90.00 149.96
Element x y z (fractional)
La 0.000 0.000 0.000
La 0.000 0.000 0.500
La 0.197 0.803 0.750
La 0.803 0.197 0.250
Cu 0.181 0.819 0.116
Cu 0.181 0.819 0.384
Cu 0.341 0.659 0.013
Cu 0.341 0.659 0.487
Cu 0.397 0.603 0.750
Cu 0.603 0.397 0.250
Cu 0.659 0.341 0.513
Cu 0.659 0.341 0.987
Cu 0.819 0.181 0.616
Cu 0.819 0.181 0.884
Rh 0.438 0.562 0.250
Rh 0.562 0.438 0.750

The formation enthalpy at 0 K is -0.25 eV per atom. As for the symmetry: Cmcm.

---

> formation enthalpy at 0 K of number 2 (LiCrC3)?

2.77 eV per atom